Here is a relaxed ScOs2Au crystal from Alexandria. Energies are from PBE.

Unit cell a=5.463 b=5.463 c=5.463 alpha=147.39 beta=130.46 gamma=60.58
Fractional coordinates of all 4 atoms:
Sc 0.000 0.000 0.000
Os 0.519 0.519 0.000
Os 0.741 0.241 0.500
Au 0.266 0.766 0.500

D(E_F) = 3.3 states/eV/cell
Spin magnetization = 0.00 Bohr magnetons per cell
Space group = No. 44
Formation energy from the elements = 0.1495 eV per atom
E = -0.57826 Ry per atom